Density functional theory data (GGA+U) for crystalline K2MnPCO7 at its relaxed geometry.

M_tot (μB/f.u.): 4.0
Calculated volume (Å³/cell): 376.3
Mass density (g/cm³): 2.54
Uncorrected energy (eV/atom): -6.84

Cell: 5.405 7.272 9.576 Å, 90.00 91.46 90.00°
Sites, in units of the cell vectors:
K (0.245, 0.028, 0.243)
K (0.245, 0.472, 0.243)
K (0.755, 0.528, 0.757)
K (0.755, 0.972, 0.757)
Mn (0.284, 0.250, 0.636)
Mn (0.716, 0.750, 0.364)
P (0.223, 0.750, 0.574)
P (0.777, 0.250, 0.426)
C (0.235, 0.250, 0.891)
C (0.765, 0.750, 0.109)
O (0.050, 0.250, 0.797)
O (0.062, 0.250, 0.472)
O (0.208, 0.250, 0.019)
O (0.274, 0.573, 0.659)
O (0.274, 0.927, 0.659)
O (0.378, 0.750, 0.438)
O (0.450, 0.250, 0.828)
O (0.550, 0.750, 0.172)
O (0.622, 0.250, 0.562)
O (0.726, 0.073, 0.341)
O (0.726, 0.427, 0.341)
O (0.792, 0.750, 0.981)
O (0.938, 0.750, 0.528)
O (0.950, 0.750, 0.203)